Pa5PS4 GGA-PBE relaxed; N(E_F) = 16.94 states/eV/f.u.; ΔE_f (raw) = -1552 meV per atom; calculated total energy = -8.492 eV/atom; space-group type = Immm, No. 71; spin magnetization = 0.003 μB per cell
1.0
3.999 0.000 -0.772
-0.286 5.332 -1.480
-0.151 -0.121 9.965
Pa P S
5 1 4
Cartesian
-0.143 2.666 -0.740
3.023 1.528 4.920
2.345 0.516 1.405
1.217 4.695 6.309
0.539 3.683 2.794
0.000 0.000 0.000
1.364 2.036 7.072
0.686 1.024 3.556
2.876 4.187 4.158
2.198 3.175 0.642

---

Pa3P2S2 GGA-PBE relaxed; N(E_F) = 11.42 states/eV/f.u.; ΔE_f (raw) = -1200 meV per atom; calculated total energy = -7.995 eV/atom; space-group type = C2/m, No. 12; spin magnetization = 1.965 μB per cell
1.0
4.050 0.000 0.000
0.000 6.663 -0.810
-2.025 -2.929 6.877
P Pa S
2 3 2
Cartesian
2.025 4.191 1.278
0.000 -0.457 4.789
0.000 3.558 3.104
0.000 3.332 -0.405
2.025 0.175 2.963
0.000 1.262 1.438
2.025 2.472 4.629

---

Pa2PS GGA-PBE relaxed; N(E_F) = 7.60 states/eV/f.u.; ΔE_f (raw) = -1095 meV per atom; calculated total energy = -8.227 eV/atom; space-group type = P4/mmm, No. 123; spin magnetization = 0.001 μB per cell
1.0
3.398 0.000 0.000
0.000 3.398 0.000
0.000 0.000 6.811
Pa P S
2 1 1
Cartesian
0.000 0.000 1.736
0.000 0.000 5.075
1.699 1.699 3.405
1.699 1.699 0.000

---

PaPS GGA-PBE relaxed; N(E_F) = 1.85 states/eV/f.u.; ΔE_f (raw) = -1116 meV per atom; calculated total energy = -7.460 eV/atom; space-group type = I4mm, No. 107; spin magnetization = 0.000 μB per cell
1.0
3.653 0.000 0.000
0.000 3.653 0.000
-1.827 -1.827 4.275
Pa S P
1 1 1
Cartesian
1.827 1.827 1.419
0.000 0.000 2.712
0.000 0.000 0.144

---

Pa4PS3 GGA-PBE relaxed; N(E_F) = 15.74 states/eV/f.u.; ΔE_f (raw) = -1534 meV per atom; calculated total energy = -8.506 eV/atom; space-group type = Pm-3m, No. 221; spin magnetization = 0.575 μB per cell
1.0
-4.726 -2.545 1.368
-0.973 -1.067 -5.348
2.721 -4.803 0.463
Pa S P
4 3 1
Cartesian
1.360 -2.402 0.231
-0.487 -0.533 -2.674
-1.489 -4.208 -1.759
-2.363 -1.273 0.684
0.874 -2.935 -2.443
-2.850 -1.806 -1.990
-1.003 -3.674 0.915
0.000 0.000 0.000

---

Pa2PS3 GGA-PBE relaxed; N(E_F) = 6.37 states/eV/f.u.; ΔE_f (raw) = -1419 meV per atom; calculated total energy = -7.550 eV/atom; space-group type = C2/m, No. 12; spin magnetization = 2.225 μB per cell
1.0
-0.450 -3.922 1.486
7.122 -3.611 -1.386
5.726 0.235 8.344
Pa S P
4 6 2
Cartesian
4.369 -2.991 5.402
4.772 -2.466 0.924
7.626 -4.831 7.520
8.029 -4.306 3.041
7.060 -6.756 2.269
3.320 -1.393 3.316
5.338 -0.542 6.174
10.209 -4.812 8.354
9.078 -5.905 5.127
2.189 -2.486 0.090
7.086 -3.311 5.382
5.312 -3.987 3.062

---

Pa2PS GGA-PBE relaxed; N(E_F) = 7.40 states/eV/f.u.; ΔE_f (raw) = -1098 meV per atom; calculated total energy = -8.230 eV/atom; space-group type = Fm-3m, No. 225; spin magnetization = 0.022 μB per cell
1.0
-3.544 0.427 -3.220
-0.022 -2.766 -3.931
-3.264 -3.499 -0.459
P Pa S
1 2 1
Cartesian
-3.415 -2.919 -3.805
-1.707 -1.459 -1.903
-5.122 -4.378 -5.708
0.000 0.000 0.000

---

Pa2PS GGA-PBE relaxed; N(E_F) = 6.18 states/eV/f.u.; ΔE_f (raw) = -1187 meV per atom; calculated total energy = -8.320 eV/atom; space-group type = Pmmn, No. 59; spin magnetization = 0.001 μB per cell
1.0
-3.474 -0.342 0.923
-1.773 -1.634 -7.276
0.900 -6.068 1.143
P Pa S
2 4 2
Cartesian
-1.373 -6.871 -4.179
-2.973 -1.172 -1.031
-0.645 -1.608 0.509
-3.701 -6.436 -5.719
-2.819 -5.623 -2.098
-1.527 -2.421 -3.112
-3.560 -4.007 -4.289
-0.786 -4.037 -0.921

---

PaPS6 GGA-PBE relaxed; N(E_F) = 4.12 states/eV/f.u.; ΔE_f (raw) = -227 meV per atom; calculated total energy = -5.185 eV/atom; space-group type = C2/m, No. 12; spin magnetization = 0.000 μB per cell
1.0
-2.569 -4.272 3.759
5.785 2.125 0.997
-2.888 4.709 2.173
S P Pa
6 1 1
Cartesian
1.350 2.871 4.466
-1.248 2.842 2.807
-1.021 -0.309 2.463
-1.094 1.000 5.274
1.577 -0.279 4.122
1.423 1.562 1.655
0.164 1.281 3.464
0.000 0.000 0.000

---

PaPS2 GGA-PBE relaxed; N(E_F) = 4.70 states/eV/f.u.; ΔE_f (raw) = -8 meV per atom; calculated total energy = -5.798 eV/atom; space-group type = R-3m, No. 166; spin magnetization = 0.001 μB per cell
1.0
-1.151 1.769 -2.600
-2.910 1.639 0.247
2.644 7.819 1.992
S Pa P
2 1 1
Cartesian
1.337 5.634 1.084
-2.755 5.592 -1.446
0.000 0.000 0.000
-0.709 5.613 -0.181

---

PaPS GGA-PBE relaxed; ΔE_f (raw) = -1226 meV per atom; calculated total energy = -7.570 eV/atom; space-group type = F-43m, No. 216; spin magnetization = 0.000 μB per cell
1.0
4.569 0.000 0.000
2.285 3.957 0.000
2.285 1.319 3.731
Pa P S
1 1 1
Cartesian
2.285 1.319 0.933
0.000 0.000 0.000
4.569 2.638 1.865

---

Pa4P3S GGA-PBE relaxed; N(E_F) = 11.74 states/eV/f.u.; ΔE_f (raw) = -1403 meV per atom; calculated total energy = -8.695 eV/atom; space-group type = Pm-3m, No. 221; spin magnetization = 0.001 μB per cell
1.0
-4.492 -0.015 3.329
3.151 -1.822 4.244
1.073 5.286 1.473
P S Pa
3 1 4
Cartesian
-0.670 -0.919 3.786
2.112 1.732 2.858
-1.709 2.635 2.401
0.000 0.000 0.000
0.537 2.643 0.736
-2.246 -0.008 1.664
-0.134 1.724 4.523
1.576 -0.911 2.122

---

Pa2PS GGA-PBE relaxed; N(E_F) = 5.04 states/eV/f.u.; ΔE_f (raw) = -1482 meV per atom; calculated total energy = -8.615 eV/atom; space-group type = R-3m, No. 166; spin magnetization = 0.000 μB per cell
1.0
-2.288 2.880 -1.577
-1.266 -0.297 -3.785
-6.262 -2.114 0.144
P S Pa
1 1 2
Cartesian
0.000 0.000 0.000
-4.908 0.235 -2.609
-2.469 0.108 -1.299
-7.346 0.361 -3.919